(1)
# MgBr

A relaxed MgBr crystal (PBE, Alexandria via LeMat-Bulk).

Properties
The calculation puts the spin magnetization at 0.0 μB per cell. As for the crystal system: tetragonal. The raw formation energy comes out at -0.9330 eV/atom. Its calculated total energy is -41.07 eV per cell.

Cell lengths 11.644, 11.644, 3.686 Å; angles 90.00, 90.00, 90.00 degrees
Positions (direct):
Mg 0.089 0.395 0.000
Mg 0.164 0.603 0.500
Mg 0.395 0.911 0.000
Mg 0.397 0.164 0.500
Mg 0.603 0.836 0.500
Mg 0.605 0.089 0.000
Mg 0.836 0.397 0.500
Mg 0.911 0.605 0.000
Br 0.008 0.245 0.500
Br 0.245 0.992 0.500
Br 0.307 0.689 0.000
Br 0.311 0.307 0.000
Br 0.689 0.693 0.000
Br 0.693 0.311 0.000
Br 0.755 0.008 0.500
Br 0.992 0.755 0.500

=====

(2)
# Ca2EuGe

A relaxed Ca2EuGe crystal (PBE, Alexandria via LeMat-Bulk).

Properties
For the energy of formation from the pure elements, the calculation gives -0.162 eV per atom. The calculation puts the spin magnetization at 7.4 μB per cell. As for the crystal system: trigonal. Its calculated total energy is -19.54 eV per cell.

Cell lengths 8.525, 8.525, 8.525 Å; angles 32.17, 32.17, 32.17 degrees
Positions (direct):
Ca 0.215 0.215 0.215
Ca 0.785 0.785 0.785
Eu 0.000 0.000 0.000
Ge 0.500 0.500 0.500

=====

(3)
# La4Nd5Sm2

A relaxed La4Nd5Sm2 crystal (PBE, Alexandria via LeMat-Bulk).

Properties
Its offset from the most stable computed form is 0.149 eV per atom. For the energy of formation from the pure elements, the calculation gives 0.219 eV per atom. The calculation puts the spin magnetization at 0.0 μB per cell. As for the crystal system: orthorhombic. Its calculated total energy is -50.58 eV per cell.

Cell lengths 12.759, 12.759, 12.759 Å; angles 163.87, 135.92, 47.24 degrees
Positions (direct):
La 0.093 0.093 0.000
La 0.208 0.500 0.708
La 0.792 0.500 0.292
La 0.907 0.907 0.000
Nd 0.151 0.350 0.800
Nd 0.450 0.650 0.800
Nd 0.500 0.000 0.500
Nd 0.550 0.350 0.200
Nd 0.849 0.650 0.200
Sm 0.228 0.228 0.000
Sm 0.772 0.772 0.000